ReBi2OsF: relaxed, PBE.

Properties
* spin magnetization: 1.223 μB per formula unit
* symmetry: No. 123
* formation energy from raw total energies: 0.981 eV per atom
* electronic total energy: -5.681 eV/atom
* DOS at the Fermi energy: 4.2 states/eV/cell

Cell and atoms, written as POSCAR:
```
ReBi2OsF
1.0
-1.266 5.125 0.760
-1.947 0.161 -4.326
-4.696 -1.466 2.060
Bi Re Os F
2 1 1 1
Direct
0.500 0.000 0.000 Bi
0.000 0.000 0.500 Bi
0.000 0.000 0.000 Re
0.000 0.500 0.000 Os
0.500 0.500 0.500 F
```